(1)
Computed, not measured: a geometry-optimized NaLiNiHg2 structure at the PBE-GGA level of DFT.

Values from the calculation:
* total magnetic moment: 0.000 μB per formula unit
* DFT formation energy: -0.023 eV/atom
* uncorrected energy: -9.74 eV for the cell shown

Cell and atoms, written as POSCAR:
```
NaLiNiHg2
1.0
5.047 0.000 0.000
0.000 5.047 0.000
0.000 0.000 4.614
Ni Li Hg Na
1 1 2 1
Direct
0.000 0.000 0.000 Ni
0.000 0.000 0.500 Li
0.000 0.500 0.000 Hg
0.500 0.000 0.000 Hg
0.500 0.500 0.500 Na
```

=====

(2)
Computed, not measured: a geometry-optimized La2NdY structure at the PBE-GGA level of DFT.

Values from the calculation:
* polymorph energy (0 for the lowest one): 0.006 eV/atom
* total magnetic moment: 0.000 μB per formula unit
* DFT formation energy: 0.017 eV/atom
* uncorrected energy: -21.02 eV for the cell shown

Cell and atoms, written as POSCAR:
```
La2NdY
1.0
-1.285 -3.383 0.747
0.911 -2.844 -2.176
9.480 -4.218 6.344
La Nd Y
2 1 1
Direct
0.084 0.084 0.747 La
0.248 0.248 0.256 La
0.668 0.668 0.996 Nd
0.500 0.500 0.501 Y
```

=====

(3)
Computed, not measured: a geometry-optimized BaMgSiN3 structure at the PBE-GGA level of DFT.

Values from the calculation:
* total magnetic moment: 0.000 μB per formula unit
* uncorrected energy: -75.67 eV for the cell shown
* uncorrected formation energy: -3.92 eV per formula unit

Cell and atoms, written as POSCAR:
```
BaMgSiN3
1.0
-2.293 -4.441 2.090
4.696 -1.103 2.808
-4.094 3.344 2.613
Ba Mg Si N
2 2 2 6
Direct
0.750 0.253 0.506 Ba
0.250 0.747 0.494 Ba
0.250 0.429 0.859 Mg
0.750 0.571 0.141 Mg
0.250 0.057 0.113 Si
0.750 0.943 0.887 Si
0.250 0.226 0.451 N
0.000 0.218 0.000 N
0.500 0.782 0.000 N
0.500 0.218 0.000 N
0.000 0.782 0.000 N
0.750 0.774 0.549 N
```

=====

(4)
Computed, not measured: a geometry-optimized Pm3Ho7Er structure at the PBE-GGA level of DFT.

Values from the calculation:
* total magnetic moment: 0.352 μB per formula unit
* DFT formation energy: 0.277 eV/atom
* uncorrected energy: -47.82 eV for the cell shown

Cell and atoms, written as POSCAR:
```
Pm3Ho7Er
1.0
5.815 -0.194 -0.248
-2.605 7.922 1.056
-2.605 -0.896 7.941
Pm Ho Er
3 7 1
Direct
0.000 0.788 0.212 Pm
0.500 0.000 0.000 Pm
0.000 0.212 0.788 Pm
0.206 0.206 0.206 Ho
0.295 0.994 0.597 Ho
0.705 0.403 0.006 Ho
0.295 0.597 0.994 Ho
0.000 0.500 0.500 Ho
0.705 0.006 0.403 Ho
0.794 0.794 0.794 Ho
0.500 0.500 0.500 Er
```

=====

(5)
Computed, not measured: a geometry-optimized TaCu2Ir structure at the PBE-GGA level of DFT.

Values from the calculation:
* polymorph energy (0 for the lowest one): 0.225 eV/atom
* total magnetic moment: 0.001 μB per formula unit
* DFT formation energy: 0.026 eV/atom
* uncorrected energy: -28.80 eV for the cell shown

Cell and atoms, written as POSCAR:
```
TaCu2Ir
1.0
-2.375 8.445 -0.323
-4.436 7.463 1.297
-1.987 8.196 2.438
Cu Ir Ta
2 1 1
Direct
0.995 0.995 0.995 Cu
0.253 0.253 0.253 Cu
0.502 0.502 0.502 Ir
0.750 0.750 0.750 Ta
```

=====

(6)
Computed, not measured: a geometry-optimized ScVInRh structure at the PBE-GGA level of DFT.

Values from the calculation:
* total magnetic moment: 2.746 μB per formula unit
* DFT formation energy: -0.331 eV/atom
* uncorrected energy: -26.86 eV for the cell shown

Cell and atoms, written as POSCAR:
```
ScVInRh
1.0
-0.327 0.343 4.596
0.009 -3.814 2.608
3.653 -0.974 2.655
Sc V Rh In
1 1 1 1
Direct
0.000 0.000 0.000 Sc
0.750 0.750 0.750 V
0.250 0.250 0.250 Rh
0.500 0.500 0.500 In
```

=====

(7)
Computed, not measured: a geometry-optimized MgAsRu structure at the PBE-GGA level of DFT.

Values from the calculation:
* total magnetic moment: 0.000 μB per formula unit
* DFT formation energy: -0.237 eV/atom
* uncorrected energy: -16.23 eV for the cell shown

Cell and atoms, written as POSCAR:
```
MgAsRu
1.0
4.186 0.000 0.000
-2.093 3.625 0.000
0.000 0.000 3.315
As Mg Ru
1 1 1
Direct
0.000 0.000 0.834 As
0.333 0.667 0.333 Mg
0.667 0.333 0.833 Ru
```

=====

(8)
Computed, not measured: a geometry-optimized Ce2Co3Ge5 structure at the PBE-GGA level of DFT.

Values from the calculation:
* total magnetic moment: 0.563 μB per formula unit
* DFT formation energy: -0.607 eV/atom
* uncorrected energy: -124.67 eV for the cell shown

Cell and atoms, written as POSCAR:
```
Ce2Co3Ge5
1.0
-4.379 3.726 -1.109
-7.113 -3.948 -0.640
-4.177 1.716 6.798
Ce Co Ge
4 6 10
Direct
0.135 0.599 0.130 Ce
0.635 0.130 0.599 Ce
0.865 0.401 0.870 Ce
0.365 0.870 0.401 Ce
0.361 0.528 0.749 Co
0.861 0.749 0.528 Co
0.639 0.472 0.251 Co
0.139 0.251 0.472 Co
0.250 0.000 0.000 Co
0.750 0.000 0.000 Co
0.403 0.255 0.939 Ge
0.903 0.939 0.255 Ge
0.597 0.745 0.061 Ge
0.097 0.061 0.745 Ge
0.481 0.769 0.769 Ge
0.519 0.231 0.231 Ge
0.750 0.500 0.500 Ge
0.250 0.500 0.500 Ge
0.019 0.231 0.231 Ge
0.981 0.769 0.769 Ge
```